1.
# LiPH5

LiPH5 after structural relaxation (PBE-GGA, Alexandria via LeMat-Bulk).

- raw total energy (eV per atom) = -3.384
- calculated density (g/cm³) = 0.9
- size of the total moment (μB/atom) = 0.000
- calculated volume (Å³/cell) = 151.91

```
LiPH5
1.0
4.900 0.000 0.000
0.057 4.929 0.000
0.697 2.326 6.290
Li P H
2 2 10
Direct
0.000 0.000 0.000
0.179 0.503 0.488
0.548 0.718 0.806
0.760 0.208 0.267
0.070 0.199 0.720
0.131 0.735 0.226
0.391 0.977 0.738
0.407 0.479 0.967
0.438 0.621 0.636
0.559 0.979 0.360
0.584 0.433 0.287
0.660 0.809 0.975
0.819 0.681 0.721
0.884 0.166 0.459
```



2.
# LiPH

LiPH after structural relaxation (PBE-GGA, Alexandria via LeMat-Bulk).

- calculated density (g/cm³) = 1.6
- E above lowest polymorph (eV per atom) = 0.329
- size of the total moment (μB/atom) = 0.000
- calculated volume (Å³/cell) = 80.18

```
LiPH
1.0
5.294 -1.629 0.000
5.294 1.629 0.000
-1.786 0.000 4.648
Li P H
2 2 2
Direct
0.065 0.065 0.305
0.935 0.935 0.695
0.186 0.186 0.853
0.814 0.814 0.147
0.293 0.293 0.713
0.707 0.707 0.287
```



3.
# LiPH2

LiPH2 after structural relaxation (PBE-GGA, Alexandria via LeMat-Bulk).

- calculated density (g/cm³) = 1.8
- E above lowest polymorph (eV per atom) = 0.060
- size of the total moment (μB/atom) = 0.000
- calculated volume (Å³/cell) = 36.89

```
LiPH2
1.0
1.380 0.797 5.590
-1.380 0.797 5.590
0.000 -1.594 5.590
Li P H
1 1 2
Direct
0.000 0.000 0.000
0.500 0.500 0.500
0.396 0.396 0.396
0.604 0.604 0.604
```



4.
# LiPH

LiPH after structural relaxation (PBE-GGA, Alexandria via LeMat-Bulk).

- calculated density (g/cm³) = 1.5
- E above lowest polymorph (eV per atom) = 0.009
- size of the total moment (μB/atom) = 0.000
- calculated volume (Å³/cell) = 84.31

```
LiPH
1.0
4.260 0.000 0.000
-1.769 3.880 0.000
-1.234 -1.888 5.100
Li P H
2 2 2
Direct
0.000 0.000 0.000
0.127 0.892 0.516
0.197 0.531 0.834
0.551 0.912 0.246
0.467 0.552 0.710
0.629 0.261 0.211
```



5.
# Li2PH

Li2PH after structural relaxation (PBE-GGA, Alexandria via LeMat-Bulk).

- calculated density (g/cm³) = 1.8
- E above lowest polymorph (eV per atom) = 0.000
- size of the total moment (μB/atom) = 0.000
- calculated volume (Å³/cell) = 43.19

```
Li2PH
1.0
1.401 0.809 6.351
-1.401 0.809 6.351
0.000 -1.618 6.351
Li P H
2 1 1
Direct
0.227 0.227 0.227
0.773 0.773 0.773
0.000 0.000 0.000
0.500 0.500 0.500
```



6.
# LiPH2

LiPH2 after structural relaxation (PBE-GGA, Alexandria via LeMat-Bulk).

- calculated density (g/cm³) = 1.6
- E above lowest polymorph (eV per atom) = 0.000
- size of the total moment (μB/atom) = 0.000
- calculated volume (Å³/cell) = 83.71

```
LiPH2
1.0
-1.927 1.927 5.637
1.927 -1.927 5.637
1.927 1.927 -5.637
Li P H
2 2 4
Direct
0.000 0.000 0.000
0.750 0.250 0.500
0.250 0.750 0.500
0.500 0.500 0.000
0.304 0.625 0.179
0.375 0.554 0.679
0.446 0.125 0.821
0.875 0.696 0.321
```



7.
# LiPH3

LiPH3 after structural relaxation (PBE-GGA, Alexandria via LeMat-Bulk).

- calculated density (g/cm³) = 1.9
- E above lowest polymorph (eV per atom) = 0.669
- size of the total moment (μB/atom) = 0.000
- calculated volume (Å³/cell) = 35.92

```
LiPH3
1.0
3.299 0.000 0.000
0.000 3.299 0.000
0.000 0.000 3.299
Li P H
1 1 3
Direct
0.000 0.000 0.000
0.500 0.500 0.500
0.000 0.000 0.500
0.000 0.500 0.000
0.500 0.000 0.000
```



8.
# Li4PH

Li4PH after structural relaxation (PBE-GGA, Alexandria via LeMat-Bulk).

- calculated density (g/cm³) = 1.3
- E above lowest polymorph (eV per atom) = 0.291
- size of the total moment (μB/atom) = 0.028
- calculated volume (Å³/cell) = 75.42

```
Li4PH
1.0
3.761 0.000 0.000
0.000 3.761 0.000
0.000 0.000 5.332
Li P H
4 1 1
Direct
0.000 0.000 0.179
0.000 0.000 0.821
0.000 0.500 0.500
0.500 0.000 0.500
0.500 0.500 0.000
0.000 0.000 0.500
```



9.
# LiPH2

LiPH2 after structural relaxation (PBE-GGA, Alexandria via LeMat-Bulk).

- calculated density (g/cm³) = 1.7
- E above lowest polymorph (eV per atom) = 0.055
- size of the total moment (μB/atom) = 0.000
- calculated volume (Å³/cell) = 38.67

```
LiPH2
1.0
3.619 0.000 0.000
0.000 3.619 0.000
0.000 0.000 2.954
Li P H
1 1 2
Direct
0.000 0.000 0.000
0.500 0.500 0.500
0.000 0.500 0.500
0.500 0.000 0.500
```



10.
# LiPH3

LiPH3 after structural relaxation (PBE-GGA, Alexandria via LeMat-Bulk).

- calculated density (g/cm³) = 1.5
- E above lowest polymorph (eV per atom) = 0.172
- size of the total moment (μB/atom) = 0.000
- calculated volume (Å³/cell) = 46.16

```
LiPH3
1.0
3.587 0.000 0.000
0.000 3.587 0.000
0.000 0.000 3.587
Li P H
1 1 3
Direct
0.000 0.000 0.000
0.500 0.500 0.500
0.000 0.500 0.500
0.500 0.000 0.500
0.500 0.500 0.000
```



11.
# LiPH

LiPH after structural relaxation (PBE-GGA, Alexandria via LeMat-Bulk).

- calculated density (g/cm³) = 1.4
- E above lowest polymorph (eV per atom) = 0.015
- size of the total moment (μB/atom) = 0.000
- calculated volume (Å³/cell) = 90.26

```
LiPH
1.0
4.263 0.000 0.000
-1.387 4.688 0.000
-0.620 -1.910 4.517
Li P H
2 2 2
Direct
0.011 0.292 0.215
0.989 0.708 0.785
0.144 0.217 0.702
0.856 0.783 0.298
0.470 0.217 0.660
0.530 0.783 0.340
```



12.
# LiPH

LiPH after structural relaxation (PBE-GGA, Alexandria via LeMat-Bulk).

- calculated density (g/cm³) = 1.5
- E above lowest polymorph (eV per atom) = 0.071
- size of the total moment (μB/atom) = 0.000
- calculated volume (Å³/cell) = 87.06

```
LiPH
1.0
5.913 -1.641 0.000
5.913 1.641 0.000
-0.170 0.000 4.485
Li P H
2 2 2
Direct
0.000 0.000 0.000
0.720 0.720 0.099
0.450 0.450 0.441
0.843 0.843 0.601
0.151 0.151 0.040
0.546 0.546 0.654
```



> The lowest calculated density belongs to which entry?

LiPH5



> Look up the calculated volume of the fourth one.

84.31 Å³/cell